(1)
10
Lattice="-4.3467 0.0395 1.2084 -0.0589 -4.5108 -0.0643 2.6627 -0.1713 9.5837" Properties=species:S:1:pos:R:3 comment="PBE Na2CdAs3Pt4, relaxed" total_energy_ev_per_cell=-45.31 space_group="P-4m2 (115)" volume_a3_per_atom=20.2 mass_density_g_cm3=9.54 pbc="T T T"
Na -1.5172 -0.0225 2.9658
Na 1.9771 -2.3845 7.1899
Cd -0.8714 -2.3213 5.3639
Pt -0.4671 -0.0900 6.7451
Pt 0.9271 -2.3170 3.4107
Pt -2.2028 -2.2357 0.5721
Pt 0.0000 0.0000 0.0000
As 0.1760 -0.1314 9.0598
As 0.2840 -2.2756 1.0959
As 1.3314 -0.0857 4.7918

---

(2)
5
Lattice="-0.7460 2.5954 -3.4143 -4.2823 -0.6416 0.4479 -0.3138 4.5638 3.5378" Properties=species:S:1:pos:R:3 comment="PBE AsSe2ClF, relaxed" raw_formation_energy_ev_per_atom=0.53 total_energy_ev_per_cell=-12.68 space_group="P4/mmm (123)" polymorph_energy_ev_per_fu=0.00 volume_a3_per_atom=21.9 mass_density_g_cm3=4.35 pbc="T T T"
As -0.1569 2.2819 1.7689
Cl -2.6710 3.2588 0.2857
F 0.0000 0.0000 0.0000
Se -2.1412 -0.3208 0.2240
Se -0.3730 1.2977 -1.7072

---

(3)
80
Lattice="14.1922 0.0000 0.0000 -4.7307 13.3805 0.0000 -4.7307 -6.6903 11.5879" Properties=species:S:1:pos:R:3 comment="PBE Li5Sc12Bi3, relaxed" total_energy_ev_per_cell=-352.57 space_group="Ia-3d (230)" volume_a3_per_atom=27.5 mass_density_g_cm3=3.63 pbc="T T T"
Sc -0.5387 0.7486 2.4736
Sc 9.9805 6.6089 1.8852
Sc 10.3469 3.0868 3.3203
Sc -5.6161 3.6035 8.2676
Sc -2.5377 -5.3435 10.9994
Sc -4.5584 5.3435 10.9994
Sc 5.2497 -1.5919 10.5748
Sc 1.8464 -1.6733 10.7158
Sc 3.2508 5.6165 4.7809
Sc -2.9041 7.4389 9.1143
Sc 6.5771 6.7716 1.8852
Sc 5.2695 5.9416 9.1143
Sc 2.9041 1.5772 3.9088
Sc 6.2107 2.0130 1.4606
Sc -2.5377 3.1814 7.2545
Sc 1.4800 1.0737 6.8070
Sc -0.5190 5.0170 0.8721
Sc 8.5761 -4.6772 10.1273
Sc -4.9031 9.8716 4.3334
Sc -0.8854 7.7640 4.7809
Sc -5.2497 0.0814 9.7027
Sc 9.6338 -3.1814 7.2545
Sc 7.2684 3.5089 4.3334
Sc 2.8844 5.0984 1.0130
Sc 7.2684 12.0338 0.5885
Sc -1.8464 -0.0814 9.7027
Sc 1.8266 5.1130 7.6791
Sc -3.8453 11.3675 1.4606
Sc 2.5377 -2.1621 6.6660
Sc 5.6161 -1.0737 6.8070
Sc 7.6348 -0.7486 2.4736
Sc 2.1930 8.8524 4.9218
Sc -1.8266 -0.8286 5.2055
Sc 6.5574 7.5189 6.3824
Sc 2.8844 8.3635 0.8721
Sc 9.2891 1.3468 0.5885
Sc -4.1920 5.8617 6.3824
Sc -0.5190 8.2822 1.0130
Sc 6.2107 10.2938 3.3203
Sc 8.9227 0.8286 5.2055
Sc 4.1920 -1.5772 3.9088
Sc 4.5584 2.1621 6.6660
Sc -1.4800 -3.6035 8.2676
Sc 5.2497 1.6733 10.7158
Sc 0.5387 8.2675 7.6791
Sc 0.1723 4.5281 4.9218
Sc 1.8464 1.5919 10.5748
Sc -1.4800 4.6772 10.1273
Li -3.5480 7.5265 4.3455
Li -2.3654 6.6903 0.0000
Li -2.3654 -3.3451 5.7939
Li -1.1827 3.3451 2.8970
Li 4.7307 -3.3451 5.7939
Li 1.1827 -3.3451 8.6909
Li 5.9134 3.3451 8.6909
Li 5.9134 -4.1814 10.1394
Li -4.7307 3.3451 5.7939
Li 5.9134 5.8540 4.3455
Li 7.0961 0.0000 0.0000
Li 3.5480 10.0354 2.8970
Li 0.0000 0.0000 0.0000
Li 3.5480 2.5088 1.4485
Li -1.1827 10.8717 1.4485
Li 2.3654 3.3451 5.7939
Li -1.1827 0.8363 7.2424
Li 1.1827 4.1814 10.1394
Li 4.7307 6.6903 0.0000
Li 8.2788 -0.8363 7.2424
Bi 10.6441 0.0000 2.8970
Bi 1.1827 6.6903 2.8970
Bi 3.5480 7.5265 7.2424
Bi -3.5480 -2.5088 10.1394
Bi -3.5480 2.5088 10.1394
Bi 8.2788 4.1814 1.4485
Bi 5.9134 0.8363 4.3455
Bi 8.2788 9.1991 1.4485
Bi 1.1827 -0.8363 4.3455
Bi 3.5480 0.0000 8.6909
Bi -5.9134 6.6903 8.6909
Bi -1.1827 5.8540 7.2424

---

(4)
3
Lattice="-3.5691 1.4641 -2.2359 -2.6493 -2.4444 2.6244 2.6488 4.8241 3.3783" Properties=species:S:1:pos:R:3 comment="PBE Ac2Pb, relaxed" total_energy_ev_per_cell=-12.82 space_group="I4/mmm (139)" polymorph_energy_ev_per_fu=0.21 volume_a3_per_atom=37.3 mass_density_g_cm3=9.80 pbc="T T T"
Ac -0.1429 1.3466 1.1100
Ac -3.4266 2.4972 2.6568
Pb -3.1092 -0.4901 0.1943

---

(5)
8
Lattice="-2.8107 2.2276 1.7461 -2.1086 -6.6424 5.0802 4.4901 0.2890 2.2414" Properties=species:S:1:pos:R:3 comment="PBE LaHAu2, relaxed" total_energy_ev_per_cell=-34.42 space_group="P2_1/m (11)" polymorph_energy_ev_per_fu=0.00 volume_a3_per_atom=19.8 mass_density_g_cm3=11.20 pbc="T T T"
H -0.6548 -0.8365 2.2947
H 0.2257 -3.2893 6.7732
Au -1.0531 -2.2584 3.4638
Au -0.1331 0.6395 1.2474
Au 0.6240 -1.8674 5.6041
Au -0.2960 -4.7653 7.8205
La 2.0522 -1.3604 2.7331
La -2.4812 -2.7654 6.3347

---

(6)
80
Lattice="-7.8971 0.8746 14.2452 -6.8650 -11.4870 -9.3260 15.6360 -3.7963 2.6756" Properties=species:S:1:pos:R:3 comment="PBE Pm12Y3Mg5, relaxed" total_energy_ev_per_cell=-277.61 space_group="Ia-3d (230)" volume_a3_per_atom=41.8 mass_density_g_cm3=4.23 pbc="T T T"
Pm -1.6087 -10.1850 -1.2893
Pm -1.9281 -4.0785 10.9264
Pm -4.4503 -4.9652 1.4445
Pm -6.8803 -7.4517 0.2500
Pm -8.8148 -6.3260 8.4469
Pm -3.3981 -5.7190 7.9832
Pm 0.1665 -7.8160 0.7496
Pm 5.5849 -3.5037 14.7396
Pm -0.8155 -11.8144 7.2052
Pm 0.7074 -6.5927 6.8451
Pm -3.8715 -11.0721 1.4689
Pm 6.4501 -9.9662 -3.0607
Pm 7.7542 -6.9570 7.3448
Pm 9.4357 -3.6341 3.3640
Pm 1.6894 -2.5943 0.3895
Pm 2.8020 -10.3303 -3.3317
Pm -4.3024 -10.9888 6.9216
Pm 3.3015 -6.0710 4.2930
Pm -7.2716 -6.7427 5.2273
Pm 5.3242 -9.4435 6.1503
Pm -0.6186 -12.7543 1.1465
Pm 5.1763 -3.4199 0.6731
Pm 3.6607 -9.5466 9.3351
Pm 2.4826 -4.2237 8.8840
Pm -8.5618 -10.7746 4.2307
Pm 12.9019 -4.2116 4.1208
Pm 1.4925 -1.6544 6.4482
Pm 0.1897 -4.1172 4.1771
Pm -5.5762 -4.4425 10.6555
Pm -2.7868 -4.8621 -1.7403
Pm 4.7719 -11.8331 1.2819
Pm -1.3650 -12.0023 -6.4229
Pm -3.8980 -2.5756 6.3128
Pm 0.6842 -10.2915 3.4177
Pm 5.7593 -6.6946 10.3234
Pm 4.7453 -3.3366 6.1258
Pm 6.4983 -13.2639 -1.6313
Pm -2.4277 -8.3377 3.3017
Pm 2.2389 -2.4064 14.0176
Pm -4.7110 -10.9050 -7.1449
Pm -4.8854 -7.7141 -2.7286
Pm -1.9556 -1.0289 9.0238
Pm 2.8295 -13.3798 -1.4290
Pm -12.0280 -10.1971 3.4740
Pm 9.6887 -8.0827 -0.8521
Pm -5.6244 -1.1448 9.2260
Pm 8.1455 -7.6660 2.3674
Pm 4.2720 -8.6898 -0.3885
Mg -3.4325 -5.7435 -4.6630
Mg 0.5264 -9.2613 8.6425
Mg 0.3475 -5.1474 -1.0477
Mg 0.4369 -7.2044 3.7974
Mg -7.0335 -10.4536 1.4118
Mg -2.7232 -3.0183 3.3449
Mg 7.8180 -1.8982 1.3378
Mg 5.2238 -6.4617 1.7363
Mg 6.9005 -4.1017 11.8593
Mg 1.1463 -4.4792 11.8053
Mg 0.0000 0.0000 0.0000
Mg 7.9074 -3.9551 6.1829
Mg -6.0266 -10.3070 -4.2645
Mg -4.3499 -7.9470 5.8585
Mg 3.5971 -11.3904 4.2499
Mg -7.3810 -5.3062 2.4596
Mg -3.9486 0.4373 7.1226
Mg -0.2724 -9.9296 -4.2105
Mg 4.3855 -7.6417 -3.3252
Mg 3.8694 -1.4608 8.4604
Y -6.5427 -4.1262 7.5211
Y 10.9781 -6.0842 1.7903
Y -3.8591 -1.6197 11.9677
Y -10.1042 -8.3245 5.8045
Y 7.4166 -10.2825 0.0737
Y 4.2169 -6.6082 7.4127
Y -3.3430 -7.8005 0.1821
Y -0.7884 -3.7487 7.5751
Y 3.0311 -2.6408 3.3989
Y 4.7330 -12.7891 -4.3729
Y 1.6623 -10.6600 0.0197
Y -2.1572 -11.7679 4.1958

---

(7)
7
Lattice="-3.8628 -0.4284 1.3211 1.3173 -2.3671 3.0841 2.2677 8.9206 3.1462" Properties=species:S:1:pos:R:3 comment="PBE NaLi4Sb2, relaxed" raw_formation_energy_ev_per_atom=-0.39 total_energy_ev_per_cell=-19.93 space_group="I4/mmm (139)" volume_a3_per_atom=22.3 mass_density_g_cm3=3.12 pbc="T T T"
Li 0.3036 2.2953 1.6320
Li -1.4339 3.5472 3.3349
Li 1.1561 2.5779 4.2165
Li -0.5813 3.8298 5.9194
Sb 0.7155 5.4099 3.8465
Sb -0.9933 0.7152 3.7049
Na 0.0000 0.0000 0.0000

---

(8)
5
Lattice="-2.4199 3.8016 1.3665 -0.2611 -1.8594 4.7106 4.0325 2.1776 1.0831" Properties=species:S:1:pos:R:3 comment="PBE NaTi2SbRh, relaxed" raw_formation_energy_ev_per_atom=0.26 total_energy_ev_per_cell=-27.29 space_group="P4/mmm (123)" volume_a3_per_atom=22.5 mass_density_g_cm3=5.07 pbc="T T T"
Sb 0.6757 2.0599 3.5801
Rh 0.0000 0.0000 0.0000
Ti -1.2100 1.9008 0.6832
Ti 2.0162 1.0888 0.5415
Na -0.1306 -0.9297 2.3553

---

(9)
12
Lattice="5.0761 0.0000 0.0000 0.0000 7.9446 -1.1646 0.0000 -3.2774 10.2198" Properties=species:S:1:pos:R:3 comment="PBE LaTb3ErTh, relaxed" total_energy_ev_per_cell=-61.18 space_group="P2_1/m (11)" volume_a3_per_atom=32.7 mass_density_g_cm3=8.58 pbc="T T T"
La 3.8070 4.6538 6.2063
La 1.2690 0.0134 2.8488
Th 1.2690 4.5279 0.5216
Th 3.8070 0.1393 8.5335
Tb 3.8070 2.3763 1.6568
Tb 1.2690 -2.0677 9.6255
Tb 1.2690 2.2909 7.3983
Tb 3.8070 1.1839 5.1372
Tb 3.8070 6.7350 -0.5704
Tb 1.2690 3.4834 3.9179
Er 1.2690 -1.0268 6.2748
Er 3.8070 5.6941 2.7803

---

(10)
12
Lattice="3.6150 0.0000 0.0000 0.0000 3.6150 0.0000 0.0000 0.0000 10.8476" Properties=species:S:1:pos:R:3 comment="PBE ZnNi9Mo2, relaxed" total_energy_ev_per_cell=-75.69 space_group="P4/mmm (123)" volume_a3_per_atom=11.8 mass_density_g_cm3=9.20 pbc="T T T"
Ni 1.8075 1.8075 3.6208
Ni 1.8075 0.0000 1.8069
Ni 1.8075 0.0000 9.0407
Ni 1.8075 1.8075 7.2268
Ni 1.8075 1.8075 0.0000
Ni 0.0000 1.8075 9.0407
Ni 1.8075 0.0000 5.4238
Ni 0.0000 1.8075 5.4238
Ni 0.0000 1.8075 1.8069
Mo 0.0000 0.0000 7.2991
Mo 0.0000 0.0000 3.5485
Zn 0.0000 0.0000 0.0000

---

(11)
4
Lattice="0.0000 3.4721 3.4721 3.4721 0.0000 3.4721 3.4721 3.4721 0.0000" Properties=species:S:1:pos:R:3 comment="PBE Cr2CdBr, relaxed" raw_formation_energy_ev_per_atom=0.72 total_energy_ev_per_cell=-18.95 space_group="Fm-3m (225)" polymorph_energy_ev_per_fu=1.90 volume_a3_per_atom=20.9 mass_density_g_cm3=5.88 pbc="T T T"
Cd 3.4721 3.4721 3.4721
Br 0.0000 0.0000 0.0000
Cr 1.7360 1.7360 1.7360
Cr 5.2081 5.2081 5.2081

---

(12)
18
Lattice="-1.0772 -5.4412 -1.1731 5.8418 2.4119 -2.8512 1.7616 -1.9784 7.5590" Properties=species:S:1:pos:R:3 comment="PBE Li5CuS3, relaxed" raw_formation_energy_ev_per_atom=-1.13 total_energy_ev_per_cell=-72.39 space_group="C2/c (15)" volume_a3_per_atom=15.1 mass_density_g_cm3=2.37 pbc="T T T"
Li 1.0540 -2.8336 5.3783
Li 1.9680 -5.3389 2.4098
Li 2.4979 -2.6100 2.9576
Li 4.0282 -2.3978 0.5770
Li 1.0789 -4.3396 -1.4080
Li 4.5582 0.3312 1.1248
Li 5.4473 -0.6681 4.9427
Li 4.9006 -3.3772 4.3181
Li 1.6256 -1.6306 -0.7834
Li -0.3696 -4.5861 1.0076
S 1.8010 -3.4683 0.7949
S 2.6770 -4.4820 4.5691
S 0.0000 0.0000 0.0000
S 3.8492 -0.5257 -1.0344
S 0.8808 -0.9892 3.7795
S 4.7251 -1.5394 2.7398
Cu 0.1614 -1.9038 1.5859
Cu 0.5229 -5.5159 4.8000